(1)
{"formula": "Si4Ru3", "functional": "PBE", "state": "relaxed", "cell": [[-1.576, 1.576, 9.458], [1.576, -1.576, 9.458], [1.576, 1.576, -9.458]], "species": ["Si", "Si", "Si", "Si", "Ru", "Ru", "Ru"], "fractional_positions": [[0.069, 0.069, 0.000], [0.354, 0.354, 0.000], [0.646, 0.646, 0.000], [0.931, 0.931, 0.000], [0.194, 0.194, 0.000], [0.500, 0.500, 0.000], [0.806, 0.806, 0.000]], "raw_formation_energy_ev_per_atom": -0.415, "e_above_lowest_polymorph_mev_per_atom": 0}

(2)
{"formula": "SiRu3", "functional": "PBE", "state": "relaxed", "cell": [[4.380, 0.000, 0.000], [0.000, 4.380, 0.000], [0.000, 0.000, 2.848]], "species": ["Si", "Ru", "Ru", "Ru"], "fractional_positions": [[0.000, 0.000, 0.000], [0.000, 0.500, 0.500], [0.500, 0.000, 0.500], [0.500, 0.500, 0.000]], "raw_formation_energy_ev_per_atom": 0.009}

(3)
{"formula": "Si3Ru", "functional": "PBE", "state": "relaxed", "cell": [[4.386, 0.000, 0.000], [0.000, 6.134, 0.000], [0.000, 0.000, 4.093]], "species": ["Si", "Si", "Si", "Si", "Si", "Si", "Ru", "Ru"], "fractional_positions": [[0.250, 0.005, 0.160], [0.250, 0.250, 0.646], [0.250, 0.495, 0.160], [0.750, 0.505, 0.840], [0.750, 0.750, 0.354], [0.750, 0.995, 0.840], [0.250, 0.750, 0.655], [0.750, 0.250, 0.345]], "raw_formation_energy_ev_per_atom": 0.014}

(4)
{"formula": "Si3Ru", "functional": "PBE", "state": "relaxed", "cell": [[4.175, -1.503, 0.000], [4.175, 1.503, 0.000], [-0.362, 0.000, 4.276]], "species": ["Si", "Si", "Si", "Ru"], "fractional_positions": [[0.000, 0.000, 0.000], [0.240, 0.240, 0.747], [0.760, 0.760, 0.253], [0.500, 0.500, 0.500]], "raw_formation_energy_ev_per_atom": -0.060}

(5)
{"formula": "Si2Ru", "functional": "PBE", "state": "relaxed", "cell": [[4.604, -1.488, 0.000], [4.604, 1.488, 0.000], [-2.992, 0.000, 5.902]], "species": ["Si", "Si", "Si", "Si", "Ru", "Ru"], "fractional_positions": [[0.030, 0.030, 0.317], [0.361, 0.361, 0.979], [0.639, 0.639, 0.021], [0.970, 0.970, 0.683], [0.312, 0.312, 0.339], [0.688, 0.688, 0.661]], "raw_formation_energy_ev_per_atom": -0.302}

(6)
{"formula": "SiRu3", "functional": "PBE", "state": "relaxed", "cell": [[-1.881, 1.881, 3.823], [1.881, -1.881, 3.823], [1.881, 1.881, -3.823]], "species": ["Si", "Ru", "Ru", "Ru"], "fractional_positions": [[0.000, 0.000, 0.000], [0.250, 0.750, 0.500], [0.500, 0.500, 0.000], [0.750, 0.250, 0.500]], "raw_formation_energy_ev_per_atom": -0.131}